Entry 1:
The following is a PBE calculation of a relaxed La2TmCd5 crystal, from Alexandria via LeMat-Bulk.

Unit cell a=5.1736 b=5.1736 c=15.8067 alpha=90.00 beta=90.00 gamma=90.00
Closest atoms and distances in Å follow each position.
Space group I4/mmm (No. 139)
Symmetry-distinct sites (fractional):
La 0.0000 0.0000 0.2383 x4  8 Cd 3.29-3.53, 4 La 3.68
Tm 0.0000 0.0000 0.5000 x2  8 Cd 3.12
Cd 0.0000 0.0000 0.0000 x2  8 Cd 3.12
Cd 0.0000 0.5000 0.1101 x8  3 Cd 3.12-3.48, 2 Tm 3.12, 2 La 3.29

- ΔH_f (0 K): -2.35 eV per formula unit
- Calculated total energy: -42.50 eV per cell
- Total magnetization: 0.25 μB/f.u.
- Crystal system: tetragonal



Entry 2:
The following is a PBE calculation of a relaxed La12Tm6Cd crystal, from Alexandria via LeMat-Bulk.

Unit cell a=13.4119 b=13.4119 c=12.6735 alpha=90.00 beta=90.00 gamma=120.00
Closest atoms and distances in Å follow each position.
Space group R-3m (No. 166, hexagonal axes)
Symmetry-distinct sites (fractional):
La 0.0000 0.2596 0.0000 x18  4 Tm 3.47-3.53, 1 Cd 3.48, 6 La 3.48-3.66
La 0.0573 0.5287 0.1097 x18  1 La 3.08
Tm 0.0877 0.1753 0.7705 x18  4 La 3.47-3.53, 2 Tm 3.53, 1 Cd 3.55
Cd 0.0000 0.0000 0.0000 x3  6 La 3.48, 6 Tm 3.55

- ΔH_f (0 K): 2.07 eV per formula unit
- Calculated total energy: -254.40 eV per cell
- Total magnetization: 0.00 μB/f.u.
- Crystal system: trigonal



Entry 3:
The following is a PBE calculation of a relaxed LaTm3Cd crystal, from Alexandria via LeMat-Bulk.

Unit cell a=3.6870 b=6.7856 c=12.4704 alpha=86.45 beta=89.98 gamma=74.24
Closest atoms and distances in Å follow each position.
Space group P-1 (No. 2)
Symmetry-distinct sites (fractional):
La 0.2384 0.0222 0.2512 x2  2 Cd 3.40, 8 Tm 3.53-3.72, 2 La 3.69
Tm 0.0342 0.4311 0.6865 x2  2 Cd 3.18, 5 Tm 3.44-3.54, 2 La 3.53
Tm 0.1444 0.2117 0.9534 x2  4 Cd 3.19-3.21, 3 Tm 3.46-3.54, 2 La 3.57
Tm 0.3671 0.7667 0.5217 x2  9 Tm 3.44-3.69, 3 La 3.67-3.72
Cd 0.4536 0.5927 0.8713 x2  6 Tm 3.18-3.21, 1 Cd 3.36, 2 La 3.40

- Energy above the lowest structure with this stoichiometry: 0 meV/atom
- ΔH_f (0 K): -0.50 eV per formula unit
- Calculated total energy: -39.51 eV per cell
- Total magnetization: 0.00 μB/f.u.
- Crystal system: triclinic



Entry 4:
The following is a PBE calculation of a relaxed La4TmCd2 crystal, from Alexandria via LeMat-Bulk.

Unit cell a=6.6264 b=8.6750 c=8.7092 alpha=98.76 beta=110.12 gamma=102.09
Closest atoms and distances in Å follow each position.
Space group P1 (No. 1)
Symmetry-distinct sites (fractional):
La 0.0000 0.0000 0.0000 x1  2 Cd 3.31-3.52, 2 Tm 3.42-3.68, 4 La 3.56-3.69
La 0.0120 0.4616 0.4891 x1  3 Cd 3.27-3.53, 1 Tm 3.46, 2 La 3.53-3.56
La 0.1419 0.6131 0.9257 x1  4 Cd 3.24-3.43, 3 La 3.53-3.59
La 0.3388 0.2662 0.8464 x1  3 Cd 3.27-3.64, 3 Tm 3.42-3.59, 4 La 3.59-3.65
La 0.4191 0.8671 0.7359 x1  2 Cd 3.32-3.35, 2 Tm 3.52-3.62, 4 La 3.53-3.68
La 0.4324 0.4116 0.2874 x1  4 Cd 3.33-3.53, 1 Tm 3.50, 4 La 3.53-3.65
La 0.5842 0.0408 0.2108 x1  3 Cd 3.46-3.61, 5 La 3.58-3.86, 3 Tm 3.74-3.79
La 0.7993 0.8183 0.5196 x1  3 Cd 3.41-3.54, 2 Tm 3.54-3.60, 5 La 3.62-3.78
Tm 0.1982 0.0907 0.4302 x1  1 Cd 3.05, 1 Tm 3.38
Tm 0.7500 0.2104 0.6781 x1  2 Cd 3.21-3.29, 1 Tm 3.38, 5 La 3.46-3.60
Cd 0.2138 0.7453 0.3143 x1  1 Tm 3.05, 1 Cd 3.09, 3 La 3.24-3.36
Cd 0.5960 0.5376 0.7036 x1  1 Cd 3.21, 1 Tm 3.21, 6 La 3.27-3.53
Cd 0.7082 0.6659 0.0971 x1  3 Cd 3.09-3.21, 1 La 3.43
Cd 0.8702 0.3432 0.0824 x1  2 Cd 3.20-3.58, 6 La 3.27-3.46, 1 Tm 3.29

- ΔH_f (0 K): -0.93 eV per formula unit
- Calculated total energy: -53.88 eV per cell
- Total magnetization: 0.00 μB/f.u.
- Crystal system: triclinic